No. 1
The following is a PBE-GGA calculation of crystalline Hf2GaPb2 at its relaxed geometry, from the Alexandria database.

Cell: 7.2483 7.2483 4.5220 Å, 90.00 90.00 90.00°
With the nearest neighbours (Å) after each atom.
Element x y z (fractional)
Hf  0.1549  0.3451  0.0000  2 Ga 2.74, 2 Pb 2.96
Hf  0.3451  0.8451  0.0000  2 Ga 2.74, 2 Pb 2.96
Hf  0.6549  0.1549  0.0000  2 Ga 2.74, 2 Pb 2.96
Hf  0.8451  0.6549  0.0000  2 Ga 2.74, 2 Pb 2.96
Ga  0.0000  0.0000  0.0000  4 Hf 2.74
Ga  0.5000  0.5000  0.0000  4 Hf 2.74
Pb  0.1593  0.6593  0.5000  6 Hf 2.96-3.21, 1 Pb 3.27
Pb  0.3407  0.1593  0.5000  6 Hf 2.96-3.21, 1 Pb 3.27
Pb  0.6593  0.8407  0.5000  6 Hf 2.96-3.21, 1 Pb 3.27
Pb  0.8407  0.3407  0.5000  6 Hf 2.96-3.21, 1 Pb 3.27

Spin magnetization, μB/f.u.: 0.0
ΔH_f (0 K), meV per atom: -5
Total energy, eV per cell: -60.75
SG: No. 127

---

No. 2
The following is a PBE-GGA calculation of crystalline HfGa3Pb at its relaxed geometry, from the Alexandria database.

Cell: 5.2119 5.2119 5.2119 Å, 90.00 90.00 90.00°
With the nearest neighbours (Å) after each atom.
Element x y z (fractional)
Hf  0.0000  0.0000  0.0000  6 Ga 2.61
Ga  0.0000  0.0000  0.5000  2 Hf 2.61
Ga  0.0000  0.5000  0.0000  2 Hf 2.61
Ga  0.5000  0.0000  0.0000  2 Hf 2.61
Pb  0.5000  0.5000  0.5000  12 Ga 3.69

Spin magnetization, μB/f.u.: 0.0
ΔH_f (0 K), meV per atom: 423
Total energy, eV per cell: -20.63
SG: No. 221